[1]
5
Lattice="-0.2669 -0.6690 4.6362 -1.0068 -4.6718 -0.7321 4.5812 -1.0059 0.1186" Properties=species:S:1:pos:R:3 comment="Cr2CuTeIr (PBE, relaxed)" final_energy_ev_per_atom=-5.16 dos_ef_per_ev_atom=3.348 pbc="T T T"
Cu 1.6537 -3.1733 2.0113
Cr -0.1334 -0.3345 2.3181
Cr 2.2906 -0.5029 0.0593
Te 0.0000 0.0000 0.0000
Ir -0.5034 -2.3359 -0.3661

=====

[2]
3
Lattice="-3.9922 2.7597 0.6255 1.3442 -3.1798 3.4679 2.3630 3.0021 1.8367" Properties=species:S:1:pos:R:3 comment="CaTeSe (PBE, relaxed)" final_energy_ev_per_atom=-3.62 e_above_lowest_polymorph_mev_per_atom=378 dos_ef_per_ev_atom=1.101 pbc="T T T"
Te 1.1400 0.8005 3.7443
Ca 0.3975 0.5050 0.3090
Se -1.8225 1.2765 1.8768

=====

[3]
4
Lattice="3.8696 0.0000 0.0000 0.0000 3.8696 0.0000 0.0000 0.0000 6.9173" Properties=species:S:1:pos:R:3 comment="TbCeHf2 (PBE, relaxed)" final_energy_ev_per_atom=-7.38 e_above_lowest_polymorph_mev_per_atom=40 dos_ef_per_ev_atom=1.429 e_form_ev_per_fu=0.94 pbc="T T T"
Hf 0.0000 0.0000 1.4939
Hf 0.0000 0.0000 5.4234
Ce 1.9348 1.9348 0.0000
Tb 1.9348 1.9348 3.4587

=====

[4]
5
Lattice="-4.1392 -0.1573 -1.0648 0.8944 -2.8758 -3.0517 0.8557 -2.5168 5.6345" Properties=species:S:1:pos:R:3 comment="LaAlZn2Ga (PBE, relaxed)" final_energy_ev_per_atom=-3.33 dos_ef_per_ev_atom=0.272 e_form_ev_per_fu=-2.41 pbc="T T T"
Ga -2.1303 -4.1881 0.3105
Zn -2.3626 -1.6202 0.8344
Zn -0.0919 -0.4836 0.4288
Al 0.1553 -2.9732 -0.1645
La -0.6741 -3.5460 3.1442

=====

[5]
12
Lattice="-2.4002 1.6529 -5.5061 -1.8528 -5.2736 2.7506 -7.0727 7.0334 6.3692" Properties=species:S:1:pos:R:3 comment="Tb6Ce2PmNd3 (PBE, relaxed)" final_energy_ev_per_atom=-4.85 dos_ef_per_ev_atom=1.796 e_form_ev_per_fu=0.56 pbc="T T T"
Ce -2.0353 -2.9647 -0.0018
Ce -2.2177 -0.6561 -2.7537
Tb -2.8988 1.9898 -0.5084
Tb -8.4270 1.4229 4.1221
Tb -6.4096 4.3820 4.1010
Tb -2.7148 -0.3379 2.2663
Tb -8.6109 3.7505 1.3475
Tb -4.9161 -0.9694 -0.4873
Nd -5.6629 1.7063 1.8069
Nd -5.8456 4.0187 -0.9496
Nd -5.4801 -0.6061 4.5633
Pm 0.0000 0.0000 0.0000

=====

[6]
4
Lattice="4.3251 -0.0260 -0.6526 2.1349 3.7617 -0.6526 -1.1391 -0.6586 7.1215" Properties=species:S:1:pos:R:3 comment="CsGaGePt (PBE, relaxed)" final_energy_ev_per_atom=-4.00 dos_ef_per_ev_atom=0.463 e_form_ev_per_fu=-1.46 pbc="T T T"
Ge 1.0504 0.6075 4.5782
Ga 3.3776 1.9533 5.2949
Pt 5.4613 3.1582 4.3991
Cs 2.7942 1.6158 1.4211

=====

[7]
5
Lattice="-2.5446 3.7741 -1.2495 -1.5414 0.4309 4.4405 3.6646 2.8019 1.0002" Properties=species:S:1:pos:R:3 comment="IrRu3O (PBE, relaxed)" final_energy_ev_per_atom=-6.10 e_above_lowest_polymorph_mev_per_atom=1858 dos_ef_per_ev_atom=1.546 pbc="T T T"
Ru -0.7707 0.2154 2.2203
Ru 1.8323 1.4009 0.5001
Ru -1.2723 1.8870 -0.6247
O -0.2107 3.5034 2.0956
Ir 0.0000 0.0000 0.0000

=====

[8]
5
Lattice="4.2050 0.0000 0.0000 0.0000 4.2050 0.0000 0.0000 0.0000 3.2986" Properties=species:S:1:pos:R:3 comment="TaBeTc2H (PBE, relaxed)" final_energy_ev_per_atom=-8.02 dos_ef_per_ev_atom=0.717 pbc="T T T"
Ta 2.1025 2.1025 1.6493
H 0.0000 0.0000 0.0000
Tc 0.0000 2.1025 0.0000
Tc 2.1025 0.0000 0.0000
Be 0.0000 0.0000 1.6493

=====

[9]
84
Lattice="9.6995 0.0000 0.0369 0.0000 12.2457 0.0000 0.1194 0.0000 20.2784" Properties=species:S:1:pos:R:3 comment="K5ThP3S12 (PBE, relaxed)" final_energy_ev_per_atom=-4.77 dos_ef_per_ev_atom=0.000 pbc="T T T"
K 3.6346 10.3808 4.9512
K 3.6098 10.7552 18.7229
K 6.5575 4.6586 5.0817
K 1.8423 1.5099 1.9681
K 6.2091 1.4905 1.5925
K 6.1844 1.8648 15.3642
K 8.5440 7.9877 15.1089
K 3.0672 7.6328 8.1896
K 8.3998 7.6133 8.6021
K 3.2615 7.5871 15.2337
K 6.7517 4.6129 12.1258
K 8.0515 10.7815 5.1129
K 1.4121 1.3326 8.4216
K 1.2749 4.2580 5.2065
K 1.4191 4.6323 11.7133
K 7.9767 10.7358 18.3473
K 6.3216 4.7903 18.5793
K 8.4068 10.9131 11.8938
K 3.4974 7.4554 1.7361
K 1.7674 1.4642 15.2025
S 5.6680 0.7413 11.5078
S 5.4051 1.2928 18.6443
S 3.1002 7.4379 11.6452
S 6.7188 4.8078 8.6702
S 9.0380 6.8137 4.4225
S 4.1510 11.5044 8.8076
S 2.1980 0.9697 5.2681
S 5.5811 9.2494 16.7275
S 2.7115 7.0926 4.8896
S 7.8902 10.9306 1.5244
S 5.5710 0.6909 5.7721
S 7.6210 11.2760 15.0473
S 7.1243 5.4560 1.7687
S 8.9520 2.8450 17.0653
S 8.7109 3.1429 20.1690
S 5.7702 9.0693 6.9802
S 3.4783 3.5742 17.0241
S 3.8015 2.9800 10.0113
S 4.2480 11.5548 14.5433
S 1.9288 1.3150 18.7910
S 0.8669 9.4006 3.2501
S 4.0426 3.2778 6.9076
S 0.6716 9.1191 6.5698
S 2.3343 0.6669 11.8895
S 1.1080 9.1028 0.1464
S 8.2683 2.5486 6.9034
S 5.7764 8.9679 13.4078
S 3.5629 3.6852 20.2662
S 0.4956 4.8300 8.4866
S 4.0487 3.1763 13.3351
S 7.1074 5.1531 15.4258
S 7.4847 11.5788 8.4259
S 4.4139 10.9529 1.6711
S 0.9802 9.2992 17.1010
S 4.2378 2.9963 3.5879
S 1.5506 9.6971 13.4120
S 6.2560 8.5605 0.0492
S 6.3407 8.6714 3.2913
S 0.7810 5.4320 15.8929
S 2.6947 6.7897 18.5466
S 9.0605 6.8641 18.9653
S 1.4660 9.8080 10.1699
S 9.1473 3.1266 13.7456
S 9.3234 7.4157 11.8288
S 8.8388 2.9465 3.2144
S 8.3530 2.4377 10.1455
S 0.7585 5.3816 1.3501
S 6.0175 9.2657 10.3041
P 3.9825 1.9478 5.3026
P 3.9732 1.9212 11.7704
P 3.6972 2.3590 18.6863
P 1.0558 8.0440 18.6658
P 8.4873 3.7638 8.5655
P 5.8364 10.2979 15.0128
P 5.8458 10.3245 8.5450
P 0.9270 8.0707 4.8551
P 8.7632 4.2017 1.6496
P 1.3317 8.4819 11.7499
P 8.8920 4.1750 15.4603
P 6.1217 9.8867 1.6291
Th 1.1280 4.3866 18.6179
Th 5.9180 1.7362 8.4971
Th 3.9009 10.5095 11.8182
Th 8.6909 7.8590 1.6975

=====

[10]
6
Lattice="4.3500 0.0000 0.0000 -2.1750 3.7672 0.0000 0.0000 0.0000 7.5782" Properties=species:S:1:pos:R:3 comment="NaCeGe2Pt2 (PBE, relaxed)" final_energy_ev_per_atom=-5.46 dos_ef_per_ev_atom=0.941 e_form_ev_per_fu=-4.19 pbc="T T T"
Ge 2.1750 1.2557 5.5789
Ge 0.0000 2.5115 1.9993
Na 0.0000 0.0000 3.7891
Ce 0.0000 0.0000 0.0000
Pt 0.0000 2.5115 5.7964
Pt 2.1750 1.2557 1.7818